Record 1
Entry from Alexandria via LeMat-Bulk: an optimized crystal structure of La4GaAg2Hg (GGA-PBE).

## Properties
- E (eV/cell) = -31.92

a = 5.4219 Å, b = 5.4219 Å, c = 9.4205 Å
α = 73.28°, β = 73.28°, γ = 60.00°
Last column: nearest neighbours and their distance in Å.
Element x y z (fractional)
Hg1 0.0000 0.0000 0.0000  8 La 3.35-3.42
La1 0.6215 0.6215 0.1355  1 Ga 3.24, 4 Ag 3.27-3.36, 3 Hg 3.35
La2 0.3785 0.3785 0.8645  1 Ga 3.24, 4 Ag 3.27-3.36, 3 Hg 3.35
La3 0.1283 0.1283 0.6152  3 Ga 3.29, 4 Ag 3.31-3.38, 1 Hg 3.42
La4 0.8717 0.8717 0.3848  3 Ga 3.29, 4 Ag 3.31-3.38, 1 Hg 3.42
Ga1 0.5000 0.5000 0.5000  8 La 3.24-3.29
Ag1 0.7474 0.7474 0.7578  8 La 3.27-3.38
Ag2 0.2526 0.2526 0.2422  8 La 3.27-3.38

---

Record 2
Entry from Alexandria via LeMat-Bulk: an optimized crystal structure of La4GaAgHg2 (GGA-PBE).

## Properties
- E (eV/cell) = -29.77

a = 5.4530 Å, b = 5.4530 Å, c = 9.4777 Å
α = 73.28°, β = 73.28°, γ = 60.00°
Last column: nearest neighbours and their distance in Å.
Element x y z (fractional)
La1 0.8735 0.8735 0.3795  3 Ga 3.33, 4 Hg 3.33-3.36, 1 Ag 3.39
La2 0.3768 0.3768 0.8696  1 Ga 3.30, 4 Hg 3.32-3.38, 3 Ag 3.36
La3 0.6232 0.6232 0.1304  1 Ga 3.30, 4 Hg 3.32-3.38, 3 Ag 3.36
La4 0.1265 0.1265 0.6205  3 Ga 3.33, 4 Hg 3.33-3.36, 1 Ag 3.39
Hg1 0.7491 0.7491 0.7526  8 La 3.32-3.38
Hg2 0.2509 0.2509 0.2474  8 La 3.32-3.38
Ga1 0.5000 0.5000 0.5000  8 La 3.30-3.33
Ag1 0.0000 0.0000 0.0000  8 La 3.36-3.39

---

Record 3
Entry from Alexandria via LeMat-Bulk: an optimized crystal structure of LiGaAg2Hg (GGA-PBE).

## Properties
- E (eV/cell) = -23.02

a = 4.8810 Å, b = 5.0554 Å, c = 7.8700 Å
α = 71.71°, β = 90.00°, γ = 90.00°
Last column: nearest neighbours and their distance in Å.
Element x y z (fractional)
Hg1 0.2500 0.4366 0.7785  3 Li 2.87-2.88, 5 Ag 2.88-3.14, 4 Ga 2.96-3.09
Hg2 0.7500 0.5634 0.2215  3 Li 2.87-2.88, 5 Ag 2.88-3.14, 4 Ga 2.96-3.09
Ag1 0.7500 0.7811 0.8019  2 Li 2.86-2.98, 4 Ga 2.87-3.04, 3 Ag 2.92-3.00, 3 Hg 3.04-3.14
Ag2 0.7500 0.9686 0.4105  4 Li 2.87-2.99, 2 Hg 2.88-2.91, 5 Ag 2.88-3.00, 1 Ga 3.02
Ag3 0.2500 0.2189 0.1981  2 Li 2.86-2.98, 4 Ga 2.87-3.04, 3 Ag 2.92-3.00, 3 Hg 3.04-3.14
Ag4 0.2500 0.0314 0.5895  4 Li 2.87-2.99, 2 Hg 2.88-2.91, 5 Ag 2.88-3.00, 1 Ga 3.02
Li1 0.7500 0.3621 0.6065  6 Ag 2.86-2.99, 3 Hg 2.87-2.88, 1 Ga 2.99, 2 Li 3.04
Li2 0.2500 0.6379 0.3935  6 Ag 2.86-2.99, 3 Hg 2.87-2.88, 1 Ga 2.99, 2 Li 3.04
Ga1 0.7500 0.1611 0.0065  5 Ag 2.87-3.04, 2 Ga 2.95, 4 Hg 2.96-3.09, 1 Li 2.99
Ga2 0.2500 0.8389 0.9935  5 Ag 2.87-3.04, 2 Ga 2.95, 4 Hg 2.96-3.09, 1 Li 2.99

---

Record 4
Entry from Alexandria via LeMat-Bulk: an optimized crystal structure of LiGa2AgHg (GGA-PBE).

## Properties
- E (eV/cell) = -9.85

a = 4.9784 Å, b = 5.4240 Å, c = 4.9784 Å
α = 90.00°, β = 90.00°, γ = 90.00°
Last column: nearest neighbours and their distance in Å.
Element x y z (fractional)
Ga1 0.0000 0.0000 0.5000  2 Ag 2.49
Ga2 0.5000 0.0000 0.0000  2 Ag 2.49
Ag1 0.0000 0.0000 0.0000  4 Ga 2.49, 2 Hg 2.71
Hg1 0.0000 0.5000 0.0000  2 Ag 2.71
Li1 0.5000 0.5000 0.5000  4 Hg 3.52, 8 Ga 3.68

---

Record 5
Entry from Alexandria via LeMat-Bulk: an optimized crystal structure of LiGaAgHg (GGA-PBE).

## Properties
- E (eV/cell) = -8.84

a = 4.6547 Å, b = 4.6547 Å, c = 4.6547 Å
α = 60.00°, β = 60.00°, γ = 60.00°
Last column: nearest neighbours and their distance in Å.
Element x y z (fractional)
Li1 0.0000 0.0000 0.0000  4 Ag 2.85, 4 Hg 2.85
Ga1 0.5000 0.5000 0.5000  4 Hg 2.85, 4 Ag 2.85
Hg1 0.7500 0.7500 0.7500  4 Li 2.85, 4 Ga 2.85
Ag1 0.2500 0.2500 0.2500  4 Ga 2.85, 4 Li 2.85

---

Record 6
Entry from Alexandria via LeMat-Bulk: an optimized crystal structure of LuGaAgHg (GGA-PBE).

## Properties
- E (eV/cell) = -11.84

a = 4.8763 Å, b = 4.8763 Å, c = 4.8763 Å
α = 60.00°, β = 60.00°, γ = 60.00°
Last column: nearest neighbours and their distance in Å.
Element x y z (fractional)
Hg1 0.0000 0.0000 0.0000  4 Ag 2.99, 4 Lu 2.99
Ga1 0.5000 0.5000 0.5000  4 Lu 2.99, 4 Ag 2.99
Lu1 0.7500 0.7500 0.7500  4 Ga 2.99, 4 Hg 2.99
Ag1 0.2500 0.2500 0.2500  4 Hg 2.99, 4 Ga 2.99

---

Record 7
Entry from Alexandria via LeMat-Bulk: an optimized crystal structure of Mg4GaAg2Hg (GGA-PBE).

## Properties
- E (eV/cell) = -17.04

a = 4.7834 Å, b = 4.7834 Å, c = 8.2492 Å
α = 73.15°, β = 73.15°, γ = 60.00°
Last column: nearest neighbours and their distance in Å.
Element x y z (fractional)
Hg1 0.0000 0.0000 0.0000  8 Mg 2.93
Mg1 0.3759 0.3759 0.8724  1 Ga 2.89, 4 Ag 2.93-2.96, 3 Hg 2.93
Mg2 0.8742 0.8742 0.3774  4 Ag 2.88-2.93, 3 Ga 2.92, 1 Hg 2.93
Mg3 0.6241 0.6241 0.1276  1 Ga 2.89, 4 Ag 2.93-2.96, 3 Hg 2.93
Mg4 0.1258 0.1258 0.6226  4 Ag 2.88-2.93, 3 Ga 2.92, 1 Hg 2.93
Ag1 0.7509 0.7509 0.7473  8 Mg 2.88-2.96
Ag2 0.2491 0.2491 0.2527  8 Mg 2.88-2.96
Ga1 0.5000 0.5000 0.5000  8 Mg 2.89-2.92

---

Record 8
Entry from Alexandria via LeMat-Bulk: an optimized crystal structure of MgGaAgHg (GGA-PBE).

## Properties
- relative energy among the computed polymorphs (meV per atom) = 30
- E (eV/cell) = -7.94

a = 4.8233 Å, b = 4.8233 Å, c = 4.8233 Å
α = 60.00°, β = 60.00°, γ = 60.00°
Last column: nearest neighbours and their distance in Å.
Element x y z (fractional)
Ga1 0.5000 0.5000 0.5000  4 Ag 2.95, 4 Hg 2.95
Ag1 0.2500 0.2500 0.2500  4 Mg 2.95, 4 Ga 2.95
Hg1 0.7500 0.7500 0.7500  4 Mg 2.95, 4 Ga 2.95
Mg1 0.0000 0.0000 0.0000  4 Hg 2.95, 4 Ag 2.95

---

Record 9
Entry from Alexandria via LeMat-Bulk: an optimized crystal structure of MgGaAgHg (GGA-PBE).

## Properties
- relative energy among the computed polymorphs (meV per atom) = 0
- E (eV/cell) = -16.12

a = 4.3045 Å, b = 4.3045 Å, c = 9.2586 Å
α = 90.00°, β = 90.00°, γ = 90.00°
Last column: nearest neighbours and their distance in Å.
Element x y z (fractional)
Mg1 0.0000 0.5000 0.7223  1 Hg 2.84, 4 Ag 2.98, 4 Ga 3.07
Mg2 0.5000 0.0000 0.2777  1 Hg 2.84, 4 Ag 2.98, 4 Ga 3.07
Ag1 0.5000 0.5000 0.5000  4 Ga 2.72, 4 Mg 2.98, 4 Ag 3.04
Ag2 0.0000 0.0000 0.5000  4 Ga 2.72, 4 Mg 2.98, 4 Ag 3.04
Hg1 0.5000 0.0000 0.9705  1 Ga 2.69, 1 Mg 2.84
Hg2 0.0000 0.5000 0.0295  1 Ga 2.69, 1 Mg 2.84
Ga1 0.5000 0.0000 0.6798  1 Hg 2.69, 4 Ag 2.72
Ga2 0.0000 0.5000 0.3202  1 Hg 2.69, 4 Ag 2.72

---

Record 10
Entry from Alexandria via LeMat-Bulk: an optimized crystal structure of MnGa2AgHg (GGA-PBE).

## Properties
- E (eV/cell) = -14.16

a = 5.3294 Å, b = 5.4690 Å, c = 5.3294 Å
α = 90.00°, β = 90.00°, γ = 90.00°
Last column: nearest neighbours and their distance in Å.
Element x y z (fractional)
Ga1 0.0000 0.0000 0.5000  2 Hg 2.66
Ga2 0.5000 0.0000 0.0000  2 Hg 2.66
Hg1 0.0000 0.0000 0.0000  4 Ga 2.66, 2 Mn 2.73
Mn1 0.0000 0.5000 0.0000  2 Hg 2.73
Ag1 0.5000 0.5000 0.5000  4 Mn 3.77, 8 Ga 3.82

---

Record 11
Entry from Alexandria via LeMat-Bulk: an optimized crystal structure of Ga2AgHgMo (GGA-PBE).

## Properties
- E (eV/cell) = -13.70

a = 5.0143 Å, b = 5.5244 Å, c = 5.0143 Å
α = 90.00°, β = 90.00°, γ = 90.00°
Last column: nearest neighbours and their distance in Å.
Element x y z (fractional)
Ga1 0.0000 0.0000 0.5000  2 Hg 2.51
Ga2 0.5000 0.0000 0.0000  2 Hg 2.51
Mo1 0.0000 0.5000 0.0000  2 Hg 2.76
Hg1 0.0000 0.0000 0.0000  4 Ga 2.51, 2 Mo 2.76
Ag1 0.5000 0.5000 0.5000  4 Mo 3.55, 8 Ga 3.73

---

Record 12
Entry from Alexandria via LeMat-Bulk: an optimized crystal structure of NaGaAgHg2 (GGA-PBE).

## Properties
- E (eV/cell) = -7.59

a = 5.3217 Å, b = 5.3217 Å, c = 5.0489 Å
α = 90.00°, β = 90.00°, γ = 90.00°
Last column: nearest neighbours and their distance in Å.
Element x y z (fractional)
Ga1 0.0000 0.0000 0.0000  2 Ag 2.52, 4 Hg 2.66
Na1 0.5000 0.5000 0.5000  8 Hg 3.67, 4 Ag 3.76
Hg1 0.0000 0.5000 0.0000  2 Ga 2.66
Hg2 0.5000 0.0000 0.0000  2 Ga 2.66
Ag1 0.0000 0.0000 0.5000  2 Ga 2.52

---

Record 13
Entry from Alexandria via LeMat-Bulk: an optimized crystal structure of NdGaAgHg (GGA-PBE).

## Properties
- E (eV/cell) = -12.33

a = 5.0218 Å, b = 5.0218 Å, c = 5.0218 Å
α = 60.00°, β = 60.00°, γ = 60.00°
Last column: nearest neighbours and their distance in Å.
Element x y z (fractional)
Ga1 0.5000 0.5000 0.5000  4 Nd 3.08, 4 Ag 3.08
Nd1 0.2500 0.2500 0.2500  4 Hg 3.08, 4 Ga 3.08
Ag1 0.7500 0.7500 0.7500  4 Ga 3.08, 4 Hg 3.08
Hg1 0.0000 0.0000 0.0000  4 Nd 3.08, 4 Ag 3.08

---

Record 14
Entry from Alexandria via LeMat-Bulk: an optimized crystal structure of Nd4GaAgHg2 (GGA-PBE).

## Properties
- E (eV/cell) = -28.95

a = 5.3511 Å, b = 5.3511 Å, c = 9.3018 Å
α = 73.28°, β = 73.28°, γ = 60.00°
Last column: nearest neighbours and their distance in Å.
Element x y z (fractional)
Nd1 0.6266 0.6266 0.1201  3 Ga 3.26, 4 Hg 3.28-3.30, 1 Ag 3.33
Nd2 0.1232 0.1232 0.6305  1 Ga 3.24, 4 Hg 3.25-3.31, 3 Ag 3.29
Nd3 0.3734 0.3734 0.8799  3 Ga 3.26, 4 Hg 3.28-3.30, 1 Ag 3.33
Nd4 0.8768 0.8768 0.3695  1 Ga 3.24, 4 Hg 3.25-3.31, 3 Ag 3.29
Hg1 0.7511 0.7511 0.7467  8 Nd 3.25-3.31
Hg2 0.2489 0.2489 0.2533  8 Nd 3.25-3.31
Ga1 0.0000 0.0000 0.0000  8 Nd 3.24-3.26
Ag1 0.5000 0.5000 0.5000  8 Nd 3.29-3.33

---

Record 15
Entry from Alexandria via LeMat-Bulk: an optimized crystal structure of NpGaAgHg (GGA-PBE).

## Properties
- E (eV/cell) = -18.64

a = 4.9723 Å, b = 4.9723 Å, c = 4.9723 Å
α = 60.00°, β = 60.00°, γ = 60.00°
Last column: nearest neighbours and their distance in Å.
Element x y z (fractional)
Np1 0.5000 0.5000 0.5000  4 Hg 3.04, 4 Ga 3.04
Ga1 0.2500 0.2500 0.2500  4 Np 3.04, 4 Ag 3.04
Ag1 0.0000 0.0000 0.0000  4 Ga 3.04, 4 Hg 3.04
Hg1 0.7500 0.7500 0.7500  4 Np 3.04, 4 Ag 3.04

---

Record 16
Entry from Alexandria via LeMat-Bulk: an optimized crystal structure of GaAgHgPb (GGA-PBE).

## Properties
- E (eV/cell) = -9.27

a = 5.1309 Å, b = 5.1309 Å, c = 5.1309 Å
α = 60.00°, β = 60.00°, γ = 60.00°
Last column: nearest neighbours and their distance in Å.
Element x y z (fractional)
Ga1 0.5000 0.5000 0.5000  4 Hg 3.14, 4 Ag 3.14
Hg1 0.7500 0.7500 0.7500  4 Pb 3.14, 4 Ga 3.14
Pb1 0.0000 0.0000 0.0000  4 Ag 3.14, 4 Hg 3.14
Ag1 0.2500 0.2500 0.2500  4 Pb 3.14, 4 Ga 3.14

---

Record 17
Entry from Alexandria via LeMat-Bulk: an optimized crystal structure of GaAgHg2Pd (GGA-PBE).

## Properties
- E (eV/cell) = -9.73

a = 5.1089 Å, b = 4.7575 Å, c = 5.1089 Å
α = 90.00°, β = 90.00°, γ = 90.00°
Last column: nearest neighbours and their distance in Å.
Element x y z (fractional)
Pd1 0.0000 0.5000 0.0000  2 Ga 2.38
Ag1 0.5000 0.5000 0.5000  8 Hg 3.49, 4 Pd 3.61
Ga1 0.0000 0.0000 0.0000  2 Pd 2.38, 4 Hg 2.55
Hg1 0.5000 0.0000 0.0000  2 Ga 2.55
Hg2 0.0000 0.0000 0.5000  2 Ga 2.55

---

Record 18
Entry from Alexandria via LeMat-Bulk: an optimized crystal structure of PmGaAgHg (GGA-PBE).

## Properties
- E (eV/cell) = -12.32

a = 4.9980 Å, b = 4.9980 Å, c = 4.9980 Å
α = 60.00°, β = 60.00°, γ = 60.00°
Last column: nearest neighbours and their distance in Å.
Element x y z (fractional)
Ga1 0.5000 0.5000 0.5000  4 Pm 3.06, 4 Ag 3.06
Pm1 0.7500 0.7500 0.7500  4 Hg 3.06, 4 Ga 3.06
Hg1 0.0000 0.0000 0.0000  4 Ag 3.06, 4 Pm 3.06
Ag1 0.2500 0.2500 0.2500  4 Hg 3.06, 4 Ga 3.06

---

Record 19
Entry from Alexandria via LeMat-Bulk: an optimized crystal structure of PrGaAgHg (GGA-PBE).

## Properties
- E (eV/cell) = -12.33

a = 5.0470 Å, b = 5.0470 Å, c = 5.0470 Å
α = 60.00°, β = 60.00°, γ = 60.00°
Last column: nearest neighbours and their distance in Å.
Element x y z (fractional)
Ga1 0.5000 0.5000 0.5000  4 Ag 3.09, 4 Pr 3.09
Pr1 0.7500 0.7500 0.7500  4 Ga 3.09, 4 Hg 3.09
Hg1 0.0000 0.0000 0.0000  4 Ag 3.09, 4 Pr 3.09
Ag1 0.2500 0.2500 0.2500  4 Hg 3.09, 4 Ga 3.09

---

Record 20
Entry from Alexandria via LeMat-Bulk: an optimized crystal structure of Pr4GaAgHg2 (GGA-PBE).

## Properties
- E (eV/cell) = -28.96

a = 5.3908 Å, b = 5.3908 Å, c = 9.3647 Å
α = 73.27°, β = 73.27°, γ = 60.00°
Last column: nearest neighbours and their distance in Å.
Element x y z (fractional)
Pr1 0.1233 0.1233 0.6302  1 Ga 3.27, 4 Hg 3.28-3.33, 3 Ag 3.32
Pr2 0.3736 0.3736 0.8793  3 Ga 3.29, 4 Hg 3.30-3.32, 1 Ag 3.35
Pr3 0.8767 0.8767 0.3698  1 Ga 3.27, 4 Hg 3.28-3.33, 3 Ag 3.32
Pr4 0.6264 0.6264 0.1207  3 Ga 3.29, 4 Hg 3.30-3.32, 1 Ag 3.35
Ga1 0.0000 0.0000 0.0000  8 Pr 3.27-3.29
Hg1 0.7510 0.7510 0.7470  8 Pr 3.28-3.33
Hg2 0.2490 0.2490 0.2530  8 Pr 3.28-3.33
Ag1 0.5000 0.5000 0.5000  8 Pr 3.32-3.35

---

no.,energy of formation from the pure elements (eV per atom),density of states at the Fermi level (states/eV/cell)
1,-0.397,9.0
2,-0.447,9.3
3,-0.113,3.2
4,0.255,2.2
5,-0.188,1.6
6,-0.285,1.7
7,-0.204,1.7
8,-0.042,1.5
9,-0.072,2.8
10,0.844,2.9
11,1.267,2.7
12,0.043,2.2
13,-0.345,2.1
14,-0.425,9.3
15,0.121,9.4
16,0.154,3.0
17,0.389,2.0
18,-0.348,2.4
19,-0.343,1.9
20,-0.421,9.3